A relaxed TlC crystal, computed with PBE.

Computed properties:
E = -4.8204 eV per atom
Formation energy from the elements = 0.97 eV per atom
E above lowest polymorph = 191 meV per atom

CIF file:
```
data_TlC
_chemical_formula_sum 'Tl2 C2'
_cell_length_a 4.840
_cell_length_b 4.840
_cell_length_c 4.840
_cell_angle_alpha 72.81
_cell_angle_beta 72.81
_cell_angle_gamma 72.81
_symmetry_space_group_name_H-M 'P 1'
_symmetry_Int_Tables_number 1
loop_
_symmetry_equiv_pos_as_xyz
'x,y,z'
loop_
_atom_site_label
_atom_site_type_symbol
_atom_site_fract_x
_atom_site_fract_y
_atom_site_fract_z
Tl1 Tl 0.205 0.205 0.205
Tl2 Tl 0.795 0.795 0.795
C1 C 0.440 0.440 0.440
C2 C 0.560 0.560 0.560
```